This record from Alexandria describes a relaxed structure of Pm5ThSe6. The functional is PBE-GGA.

Cell: 7.2707 7.2707 7.2908 Å, 99.64 99.64 120.23°
With the nearest neighbours (Å) after each atom.
Positions (direct):
Pm  0.1691  0.8309  0.5000  6 Se 2.95-2.98
Pm  0.8309  0.1691  0.5000  6 Se 2.95-2.98
Pm  0.3334  0.6666  0.0000  6 Se 2.97-2.98
Pm  0.6666  0.3334  0.0000  6 Se 2.97-2.98
Pm  0.5000  0.5000  0.5000  6 Se 2.96-2.97
Se  0.2489  0.2489  0.7479  5 Pm 2.96-2.98, 1 Th 2.98
Se  0.5836  0.9168  0.7503  5 Pm 2.95-2.97, 1 Th 2.96
Se  0.9168  0.5836  0.7503  5 Pm 2.95-2.97, 1 Th 2.96
Se  0.7511  0.7511  0.2521  5 Pm 2.96-2.98, 1 Th 2.98
Se  0.4164  0.0832  0.2497  5 Pm 2.95-2.97, 1 Th 2.96
Se  0.0832  0.4164  0.2497  5 Pm 2.95-2.97, 1 Th 2.96
Th  0.0000  0.0000  0.0000  6 Se 2.96-2.98

Properties
Final energy   -6.12 eV/atom
Space group   C2/m, No. 12
ΔE_f (raw)   -1781 meV per atom
Total magnetization   0.000 μB per atom
V   26.1 Å³/atom

***

This record from Alexandria describes a relaxed structure of PmTh2Se4. The functional is PBE-GGA.

Cell: 4.0150 7.0928 14.5182 Å, 90.00 90.00 106.44°
With the nearest neighbours (Å) after each atom.
Positions (direct):
Se  0.7876  0.5752  0.1309  2 Pm 2.96, 3 Th 2.97-2.99
Se  0.5000  0.0000  0.5000  4 Th 2.95
Se  0.2124  0.4248  0.8691  2 Pm 2.96, 3 Th 2.97-2.99
Se  0.7876  0.5752  0.3691  2 Pm 2.96, 3 Th 2.97-2.99
Se  0.2124  0.4248  0.6309  2 Pm 2.96, 3 Th 2.97-2.99
Se  0.9531  0.9061  0.7500  2 Pm 2.98, 2 Th 2.99
Se  0.5000  0.0000  0.0000  4 Th 2.95
Se  0.0469  0.0939  0.2500  2 Pm 2.98, 2 Th 2.99
Th  0.8568  0.7137  0.9354  6 Se 2.95-2.99
Th  0.1432  0.2863  0.0646  6 Se 2.95-2.99
Th  0.1432  0.2863  0.4354  6 Se 2.95-2.99
Th  0.8568  0.7137  0.5646  6 Se 2.95-2.99
Pm  0.3855  0.7709  0.2500  6 Se 2.96-2.98
Pm  0.6145  0.2291  0.7500  6 Se 2.96-2.98

Properties
Final energy   -6.43 eV/atom
Space group   Cmcm, No. 63
ΔE_f (raw)   -1640 meV per atom
Energy above the lowest structure with this stoichiometry   21.6 meV/atom
Total magnetization   0.000 μB per atom
V   28.3 Å³/atom

***

This record from Alexandria describes a relaxed structure of PmThSe3. The functional is PBE-GGA.

Cell: 4.1250 8.0020 16.2048 Å, 90.00 90.00 90.00°
With the nearest neighbours (Å) after each atom.
Positions (direct):
Pm  0.2500  0.0870  0.2103  7 Se 2.98-3.13
Pm  0.2500  0.5870  0.2897  7 Se 2.98-3.13
Pm  0.7500  0.9130  0.7897  7 Se 2.98-3.13
Pm  0.7500  0.4130  0.7103  7 Se 2.98-3.13
Se  0.7500  0.4904  0.8995  3 Th 2.97-3.08, 1 Pm 3.13
Se  0.7500  0.1236  0.0746  3 Th 2.97-3.06, 2 Pm 3.03
Se  0.2500  0.0096  0.3995  3 Th 2.97-3.08, 1 Pm 3.13
Se  0.2500  0.5096  0.1005  3 Th 2.97-3.08, 1 Pm 3.13
Se  0.7500  0.6236  0.4254  3 Th 2.97-3.06, 2 Pm 3.03
Se  0.2500  0.6817  0.7218  4 Pm 2.98-2.99, 1 Th 2.99
Se  0.2500  0.8764  0.9254  3 Th 2.97-3.06, 2 Pm 3.03
Se  0.7500  0.3183  0.2782  4 Pm 2.98-2.99, 1 Th 2.99
Se  0.7500  0.8183  0.2218  4 Pm 2.98-2.99, 1 Th 2.99
Se  0.7500  0.9904  0.6005  3 Th 2.97-3.08, 1 Pm 3.13
Se  0.2500  0.1817  0.7782  4 Pm 2.98-2.99, 1 Th 2.99
Se  0.2500  0.3764  0.5746  3 Th 2.97-3.06, 2 Pm 3.03
Th  0.2500  0.7520  0.5408  7 Se 2.97-3.08
Th  0.7500  0.2480  0.4592  7 Se 2.97-3.08
Th  0.7500  0.7480  0.0408  7 Se 2.97-3.08
Th  0.2500  0.2520  0.9592  7 Se 2.97-3.08

Properties
Final energy   -6.33 eV/atom
Space group   Pnma, No. 62
ΔE_f (raw)   -1802 meV per atom
Energy above the lowest structure with this stoichiometry   0.0 meV/atom
Total magnetization   0.000 μB per atom
V   26.7 Å³/atom

***

This record from Alexandria describes a relaxed structure of PmTh6Se12. The functional is PBE-GGA.

Cell: 8.4741 8.4741 8.4741 Å, 100.62 100.62 100.62°
With the nearest neighbours (Å) after each atom.
Positions (direct):
Th  0.8602  0.3691  0.6899  7 Se 2.90-3.21
Th  0.3101  0.1398  0.6309  7 Se 2.90-3.21
Th  0.6899  0.8602  0.3691  7 Se 2.90-3.21
Th  0.6309  0.3101  0.1398  7 Se 2.90-3.21
Th  0.3691  0.6899  0.8602  7 Se 2.90-3.21
Th  0.1398  0.6309  0.3101  7 Se 2.90-3.21
Se  0.8272  0.5789  0.4387  4 Th 2.94-3.05
Se  0.1728  0.4211  0.5613  4 Th 2.94-3.05
Se  0.5789  0.4387  0.8272  4 Th 2.94-3.05
Se  0.0632  0.9525  0.3310  1 Pm 2.87, 3 Th 2.90-3.21
Se  0.0475  0.6690  0.9368  1 Pm 2.87, 3 Th 2.90-3.21
Se  0.3310  0.0632  0.9525  1 Pm 2.87, 3 Th 2.90-3.21
Se  0.9368  0.0475  0.6690  1 Pm 2.87, 3 Th 2.90-3.21
Se  0.4387  0.8272  0.5789  4 Th 2.94-3.05
Se  0.5613  0.1728  0.4211  4 Th 2.94-3.05
Se  0.6690  0.9368  0.0475  1 Pm 2.87, 3 Th 2.90-3.21
Se  0.9525  0.3310  0.0632  1 Pm 2.87, 3 Th 2.90-3.21
Se  0.4211  0.5613  0.1728  4 Th 2.94-3.05
Pm  0.0000  0.0000  0.0000  6 Se 2.87

Properties
Final energy   -6.45 eV/atom
Space group   R-3, No. 148
ΔE_f (raw)   -1653 meV per atom
Total magnetization   0.000 μB per atom
V   30.1 Å³/atom

***

This record from Alexandria describes a relaxed structure of Pm3Th2Se8. The functional is PBE-GGA.

Cell: 5.0034 10.1238 8.7364 Å, 125.45 90.00 90.00°
With the nearest neighbours (Å) after each atom.
Positions (direct):
Th  0.5000  0.7428  0.4857  8 Se 2.97-3.16
Th  0.5000  0.2572  0.5143  8 Se 2.97-3.16
Se  0.5000  0.6305  0.7499  3 Pm 3.05-3.09, 2 Th 3.08-3.11
Se  0.5000  0.8805  0.2502  3 Pm 3.05-3.09, 2 Th 3.08-3.11
Se  0.5000  0.1195  0.7498  3 Pm 3.05-3.09, 2 Th 3.08-3.11
Se  0.5000  0.3695  0.2501  3 Pm 3.05-3.09, 2 Th 3.08-3.11
Se  0.0000  0.3692  0.7383  2 Pm 2.91, 2 Th 2.97
Se  0.0000  0.8791  0.7580  4 Pm 3.04-3.31, 2 Th 3.16
Se  0.0000  0.6308  0.2617  2 Pm 2.91, 2 Th 2.97
Se  0.0000  0.1209  0.2420  4 Pm 3.04-3.31, 2 Th 3.16
Pm  0.0000  0.7214  0.0003  6 Se 2.91-3.09
Pm  0.5000  0.0000  0.0000  8 Se 3.04-3.05
Pm  0.0000  0.2786  0.9997  6 Se 2.91-3.09

Properties
Final energy   -6.08 eV/atom
Space group   Cmmm, No. 65
ΔE_f (raw)   -1694 meV per atom
Total magnetization   0.065 μB per atom
V   27.7 Å³/atom

***

This record from Alexandria describes a relaxed structure of Pm3ThSe4. The functional is PBE-GGA.

Cell: 4.1226 4.1226 28.4866 Å, 90.00 90.00 120.00°
With the nearest neighbours (Å) after each atom.
Positions (direct):
Pm  0.0000  0.0000  0.5000  6 Se 2.96
Pm  0.6667  0.3333  0.1234  6 Se 2.96
Pm  0.0000  0.0000  0.0000  6 Se 2.96
Pm  0.3333  0.6667  0.8766  6 Se 2.96
Pm  0.6667  0.3333  0.3766  6 Se 2.96
Pm  0.3333  0.6667  0.6234  6 Se 2.96
Th  0.3333  0.6667  0.2500  6 Se 3.01
Th  0.6667  0.3333  0.7500  6 Se 3.01
Se  0.0000  0.0000  0.1854  3 Pm 2.96, 3 Th 3.01
Se  0.6667  0.3333  0.9384  6 Pm 2.96
Se  0.0000  0.0000  0.6854  3 Pm 2.96, 3 Th 3.01
Se  0.3333  0.6667  0.0616  6 Pm 2.96
Se  0.3333  0.6667  0.4384  6 Pm 2.96
Se  0.0000  0.0000  0.8146  3 Pm 2.96, 3 Th 3.01
Se  0.6667  0.3333  0.5616  6 Pm 2.96
Se  0.0000  0.0000  0.3146  3 Pm 2.96, 3 Th 3.01

Properties
Final energy   -6.20 eV/atom
Space group   P6_3/mmc, No. 194
ΔE_f (raw)   -1746 meV per atom
Energy above the lowest structure with this stoichiometry   0.0 meV/atom
Total magnetization   0.000 μB per atom
V   26.2 Å³/atom

***

This record from Alexandria describes a relaxed structure of PmTh2Se6. The functional is PBE-GGA.

Cell: 6.8320 6.8320 13.2226 Å, 90.00 90.00 90.00°
With the nearest neighbours (Å) after each atom.
Positions (direct):
Th  0.5000  0.5000  0.3328  6 Se 2.91
Th  0.0000  0.0000  0.1672  6 Se 2.91
Th  0.5000  0.5000  0.6672  6 Se 2.91
Th  0.0000  0.0000  0.8328  6 Se 2.91
Se  0.3008  0.3008  0.1679  2 Th 2.91, 1 Pm 2.94
Se  0.3008  0.3008  0.8321  2 Th 2.91, 1 Pm 2.94
Se  0.1992  0.8008  0.3321  2 Th 2.91, 1 Pm 2.94
Se  0.8048  0.1952  0.0000  2 Th 2.91, 1 Pm 2.94
Se  0.8008  0.1992  0.6679  2 Th 2.91, 1 Pm 2.94
Se  0.6992  0.6992  0.8321  2 Th 2.91, 1 Pm 2.94
Se  0.1952  0.8048  0.0000  2 Th 2.91, 1 Pm 2.94
Se  0.8008  0.1992  0.3321  2 Th 2.91, 1 Pm 2.94
Se  0.6952  0.6952  0.5000  2 Th 2.91, 1 Pm 2.94
Se  0.6992  0.6992  0.1679  2 Th 2.91, 1 Pm 2.94
Se  0.3048  0.3048  0.5000  2 Th 2.91, 1 Pm 2.94
Se  0.1992  0.8008  0.6679  2 Th 2.91, 1 Pm 2.94
Pm  0.0000  0.0000  0.5000  6 Se 2.94
Pm  0.5000  0.5000  0.0000  6 Se 2.94

Properties
Final energy   -6.00 eV/atom
Space group   P4_2/mnm, No. 136
ΔE_f (raw)   -1504 meV per atom
Total magnetization   0.000 μB per atom
V   34.3 Å³/atom

***

This record from Alexandria describes a relaxed structure of Pm2ThSe5. The functional is PBE-GGA.

Cell: 7.9162 8.5252 12.6129 Å, 90.00 90.00 90.00°
With the nearest neighbours (Å) after each atom.
Positions (direct):
Pm  0.5149  0.5029  0.1800  8 Se 2.98-3.26
Pm  0.4851  0.0029  0.8200  8 Se 2.98-3.26
Pm  0.4851  0.4971  0.8200  8 Se 2.98-3.26
Pm  0.0149  0.4971  0.3200  8 Se 2.98-3.26
Pm  0.9851  0.5029  0.6800  8 Se 2.98-3.26
Pm  0.5149  0.9971  0.1800  8 Se 2.98-3.26
Pm  0.9851  0.9971  0.6800  8 Se 2.98-3.26
Pm  0.0149  0.0029  0.3200  8 Se 2.98-3.26
Th  0.0798  0.2500  0.0085  7 Se 2.86-3.02
Th  0.9202  0.7500  0.9915  7 Se 2.86-3.02
Th  0.5798  0.7500  0.4915  7 Se 2.86-3.02
Th  0.4202  0.2500  0.5085  7 Se 2.86-3.02
Se  0.6761  0.2500  0.6835  1 Th 3.00, 4 Pm 3.11-3.26
Se  0.7038  0.7500  0.7174  1 Th 3.01, 4 Pm 3.05-3.10
Se  0.4616  0.2500  0.0003  1 Th 3.02, 4 Pm 3.11-3.16
Se  0.6617  0.4547  0.3974  2 Th 2.86-2.94, 2 Pm 2.98-3.01
Se  0.2962  0.2500  0.2826  1 Th 3.01, 4 Pm 3.05-3.10
Se  0.9616  0.7500  0.4997  1 Th 3.02, 4 Pm 3.11-3.16
Se  0.1617  0.9547  0.1026  2 Th 2.86-2.94, 2 Pm 2.98-3.01
Se  0.1761  0.7500  0.8165  1 Th 3.00, 4 Pm 3.11-3.26
Se  0.3239  0.7500  0.3165  1 Th 3.00, 4 Pm 3.11-3.26
Se  0.1617  0.5453  0.1026  2 Th 2.86-2.94, 2 Pm 2.98-3.01
Se  0.3383  0.5453  0.6026  2 Th 2.86-2.94, 2 Pm 2.98-3.01
Se  0.8239  0.2500  0.1835  1 Th 3.00, 4 Pm 3.11-3.26
Se  0.8383  0.4547  0.8974  2 Th 2.86-2.94, 2 Pm 2.98-3.01
Se  0.3383  0.9547  0.6026  2 Th 2.86-2.94, 2 Pm 2.98-3.01
Se  0.6617  0.0453  0.3974  2 Th 2.86-2.94, 2 Pm 2.98-3.01
Se  0.8383  0.0453  0.8974  2 Th 2.86-2.94, 2 Pm 2.98-3.01
Se  0.2038  0.2500  0.7826  1 Th 3.01, 4 Pm 3.05-3.10
Se  0.7962  0.7500  0.2174  1 Th 3.01, 4 Pm 3.05-3.10
Se  0.0384  0.2500  0.5003  1 Th 3.02, 4 Pm 3.11-3.16
Se  0.5384  0.7500  0.9997  1 Th 3.02, 4 Pm 3.11-3.16

Properties
Final energy   -6.13 eV/atom
Space group   Pnma, No. 62
ΔE_f (raw)   -1841 meV per atom
Total magnetization   0.000 μB per atom
V   26.6 Å³/atom

***

This record from Alexandria describes a relaxed structure of PmThSe4. The functional is PBE-GGA.

Cell: 4.0963 7.6654 10.5830 Å, 90.00 90.00 105.50°
With the nearest neighbours (Å) after each atom.
Positions (direct):
Pm  0.7997  0.5993  0.5738  8 Se 2.92-3.21
Pm  0.2003  0.4007  0.0738  8 Se 2.92-3.21
Se  0.7859  0.5718  0.2743  1 Se 2.87, 2 Th 3.13, 3 Pm 3.18-3.21
Se  0.9319  0.8637  0.7844  1 Se 2.74, 2 Th 2.90, 1 Pm 2.96
Se  0.4293  0.8587  0.4964  2 Pm 2.92, 2 Th 2.99-3.02
Se  0.5707  0.1413  0.9964  2 Pm 2.92, 2 Th 2.99-3.02
Se  0.8554  0.7108  0.0206  2 Se 2.74-2.87
Se  0.1446  0.2892  0.5206  2 Se 2.74-2.87
Se  0.2141  0.4282  0.7743  1 Se 2.87, 2 Th 3.13, 3 Pm 3.18-3.21
Se  0.0681  0.1363  0.2844  1 Se 2.74, 2 Th 2.90, 1 Pm 2.96
Th  0.4395  0.8790  0.2115  8 Se 2.90-3.13
Th  0.5605  0.1210  0.7115  8 Se 2.90-3.13

Properties
Final energy   -5.91 eV/atom
Space group   Cmc2_1, No. 36
ΔE_f (raw)   -1559 meV per atom
Total magnetization   0.000 μB per atom
V   26.7 Å³/atom

***

This record from Alexandria describes a relaxed structure of PmTh2Se4. The functional is PBE-GGA.

Cell: 7.6835 7.6835 7.6835 Å, 109.71 109.00 109.71°
With the nearest neighbours (Å) after each atom.
Positions (direct):
Se  0.6246  0.7486  0.5282  2 Pm 3.00-3.15, 4 Th 3.01-3.13, 1 Se 3.35
Se  0.7796  0.2514  0.8760  2 Pm 3.00-3.15, 4 Th 3.01-3.13, 1 Se 3.35
Se  0.1240  0.9036  0.3754  2 Pm 3.00-3.15, 4 Th 3.01-3.13, 1 Se 3.35
Se  0.9704  0.5964  0.7218  2 Pm 3.00-3.15, 4 Th 3.01-3.13, 1 Se 3.35
Se  0.6260  0.7514  0.0296  2 Pm 3.00-3.15, 4 Th 3.01-3.13, 1 Se 3.35
Se  0.1254  0.4036  0.3740  2 Pm 3.00-3.15, 4 Th 3.01-3.13, 1 Se 3.35
Se  0.2782  0.2486  0.8746  2 Pm 3.00-3.15, 4 Th 3.01-3.13, 1 Se 3.35
Se  0.4718  0.0964  0.2204  2 Pm 3.00-3.15, 4 Th 3.01-3.13, 1 Se 3.35
Th  0.4995  0.3745  0.6250  8 Se 3.01-3.13
Th  0.3750  0.8745  0.7495  8 Se 3.01-3.13
Th  0.2505  0.6255  0.1250  8 Se 3.01-3.13
Th  0.8750  0.1255  0.5005  8 Se 3.01-3.13
Pm  0.0000  0.0000  0.0000  8 Se 3.00-3.15
Pm  0.7500  0.5000  0.2500  8 Se 3.00-3.15

Properties
Final energy   -6.45 eV/atom
Space group   I-42d, No. 122
ΔE_f (raw)   -1661 meV per atom
Energy above the lowest structure with this stoichiometry   0.0 meV/atom
Total magnetization   0.000 μB per atom
V   24.9 Å³/atom

***

This record from Alexandria describes a relaxed structure of PmTh5Se6. The functional is PBE-GGA.

Cell: 7.2703 7.2895 7.2786 Å, 59.95 80.40 70.55°
With the nearest neighbours (Å) after each atom.
Positions (direct):
Se  0.7521  0.4136  0.6691  1 Pm 2.95, 5 Th 2.97-2.99
Se  0.2490  0.2481  0.0000  1 Pm 2.95, 5 Th 2.97-2.99
Se  0.2479  0.5864  0.3309  1 Pm 2.95, 5 Th 2.97-2.99
Se  0.7510  0.7519  0.0000  1 Pm 2.95, 5 Th 2.97-2.99
Se  0.7521  0.0827  0.3309  1 Pm 2.95, 5 Th 2.97-2.99
Se  0.2479  0.9173  0.6691  1 Pm 2.95, 5 Th 2.97-2.99
Th  0.0000  0.6667  0.6666  6 Se 2.97
Th  0.5000  0.1673  0.6654  6 Se 2.97-2.99
Th  0.5000  0.5000  0.0000  6 Se 2.97-2.99
Th  0.5000  0.8327  0.3346  6 Se 2.97-2.99
Th  0.0000  0.3333  0.3334  6 Se 2.97
Pm  0.0000  0.0000  0.0000  6 Se 2.95

Properties
Final energy   -6.82 eV/atom
Space group   C2/m, No. 12
ΔE_f (raw)   -1586 meV per atom
Total magnetization   0.000 μB per atom
V   26.2 Å³/atom

***

This record from Alexandria describes a relaxed structure of Pm3ThTl4Se8. The functional is PBE-GGA.

Cell: 8.5345 9.2496 8.5336 Å, 117.48 120.00 90.00°
With the nearest neighbours (Å) after each atom.
Positions (direct):
Se  0.2625  0.2878  0.5251  3 Pm 2.97
Se  0.2582  0.2879  0.0230  1 Th 2.94, 2 Pm 2.98
Se  0.7418  0.7121  0.9770  1 Th 2.94, 2 Pm 2.98
Se  0.7375  0.7122  0.4749  3 Pm 2.97
Se  0.7648  0.2879  0.5296  1 Th 2.94, 2 Pm 2.98
Se  0.2352  0.7121  0.9770  1 Th 2.94, 2 Pm 2.98
Se  0.7648  0.2879  0.0230  1 Th 2.94, 2 Pm 2.98
Se  0.2352  0.7121  0.4704  1 Th 2.94, 2 Pm 2.98
Tl  0.5000  0.0000  0.0000  6 Se 3.36
Tl  0.0000  0.0000  0.0000  6 Se 3.33-3.34
Tl  0.5000  0.0000  0.5000  6 Se 3.33-3.34
Tl  0.0000  0.0000  0.5000  6 Se 3.33-3.34
Pm  0.0000  0.5000  0.5000  6 Se 2.97-2.98
Pm  0.5000  0.5000  0.0000  6 Se 2.97-2.98
Pm  0.5000  0.5000  0.5000  6 Se 2.97-2.98
Th  0.0000  0.5000  0.0000  6 Se 2.94

Properties
Final energy   -5.01 eV/atom
Space group   R-3m, No. 166
ΔE_f (raw)   -1326 meV per atom
Total magnetization   0.000 μB per atom
V   30.9 Å³/atom

***

Q: Look up the ΔE_f (raw) of the fifth one.
A: -1694 meV per atom

***

Q: Which value of total magnetization does entry 5 give?
A: 0.065 μB per atom

***

Q: Which of these has the lowest V?
A: number 10